1.
NaPm5Sn4 | GGA-PBE | optimized geometry

Cell lengths 8.9763, 8.9763, 7.9286 Å; angles 99.42, 99.42, 29.91 degrees
Atoms (fractional coordinates):
Na  0.0000  0.0000  0.0000
Pm  0.0000  0.0000  0.5000
Pm  0.2863  0.2863  0.3421
Pm  0.3693  0.3693  0.8202
Pm  0.6307  0.6307  0.1798
Pm  0.7137  0.7137  0.6579
Sn  0.1831  0.1831  0.9252
Sn  0.4498  0.4498  0.2220
Sn  0.5502  0.5502  0.7780
Sn  0.8169  0.8169  0.0748

Summary:
Crystal system: monoclinic


2.
LaPm5Al2 | GGA-PBE | optimized geometry

Cell lengths 8.4071, 8.4071, 8.4071 Å; angles 154.53, 102.09, 83.56 degrees
Atoms (fractional coordinates):
La  0.0000  0.0000  0.0000
Pm  0.1386  0.3583  0.7804
Pm  0.4221  0.6417  0.7804
Pm  0.5000  0.0000  0.5000
Pm  0.5779  0.3583  0.2196
Pm  0.8614  0.6417  0.2196
Al  0.2323  0.7323  0.5000
Al  0.7677  0.2677  0.5000

Summary:
Crystal system: orthorhombic


Number 1: formation enthalpy at 0 K -0.328 eV per atom, volume 31.39 Å³ per atom. Number 2: formation enthalpy at 0 K -0.084 eV per atom, volume 30.71 Å³ per atom.